## Li4Np3CuS8 (PBE)

Data for crystalline Li4Np3CuS8 at its relaxed geometry.

Cell lengths 7.641, 7.561, 7.673 Å; angles 120.46, 119.86, 90.00 degrees
Last column: magnetic moment on the atom in μB.
Element x y z (fractional)
Li (0.500, 0.000, 0.000)  0.00
Li (0.500, 0.000, 0.500)  0.00
Li (0.000, 0.000, 0.000)  0.00
Li (0.000, 0.000, 0.500)  0.00
Np (0.500, 0.500, 0.000)  -3.52
Np (0.500, 0.500, 0.500)  -3.51
Np (0.000, 0.500, 0.500)  -3.51
Cu (0.000, 0.500, 0.000)  0.12
S (0.244, 0.744, 0.998)  0.10
S (0.250, 0.750, 0.500)  0.10
S (0.248, 0.243, 0.497)  0.09
S (0.754, 0.744, 0.998)  0.10
S (0.246, 0.256, 0.002)  0.10
S (0.752, 0.757, 0.503)  0.09
S (0.750, 0.250, 0.500)  0.10
S (0.756, 0.256, 0.002)  0.10

Output
- Calculated volume: 19.5 Å³ per atom
- Total energy: -6.42 eV/atom
- Space-group type: No. 12
- Formation energy without anion corrections: -115 kJ/mol of atoms

## TeAsIrAu (PBE)

Data for crystalline TeAsIrAu at its relaxed geometry.

Cell lengths 3.213, 4.999, 6.012 Å; angles 114.40, 102.68, 89.93 degrees
Element x y z (fractional)
Te (0.047, 0.668, 0.404)
Ir (0.706, 0.185, 0.438)
Au (0.400, 0.932, 0.934)
As (0.357, 0.358, 0.785)

Output
- Calculated volume: 21.3 Å³ per atom
- Total energy: -4.81 eV/atom
- Space-group type: No. 1
- Formation energy without anion corrections: 17 kJ/mol of atoms
- Excess energy over the best structure of this formula in the dataset: 246 meV/atom

## HfMnCu2 (PBE)

Data for crystalline HfMnCu2 at its relaxed geometry.

Cell lengths 3.157, 3.157, 6.045 Å; angles 90.00, 90.00, 90.00 degrees
Last column: magnetic moment on the atom in μB.
Element x y z (fractional)
Mn (0.500, 0.500, 0.500)  3.48
Hf (0.500, 0.500, 0.000)  -0.33
Cu (0.000, 0.000, 0.718)  0.03
Cu (0.000, 0.000, 0.282)  0.03

Output
- DFT formation energy: 0.05 eV/atom
- Calculated volume: 15.1 Å³ per atom
- Total energy: -6.78 eV/atom
- Space-group type: No. 123

## Cs2SrAlSb2 (PBE)

Data for crystalline Cs2SrAlSb2 at its relaxed geometry.

Cell lengths 7.627, 7.656, 10.283 Å; angles 111.86, 111.77, 90.00 degrees
Element x y z (fractional)
Cs (0.445, 0.180, 0.360)
Cs (0.555, 0.820, 0.640)
Cs (0.086, 0.320, 0.640)
Cs (0.914, 0.680, 0.360)
Sr (0.000, 0.750, 0.000)
Sr (0.000, 0.250, 0.000)
Al (0.500, 0.750, 0.000)
Al (0.500, 0.250, 0.000)
Sb (0.797, 0.087, 0.174)
Sb (0.377, 0.587, 0.174)
Sb (0.623, 0.413, 0.826)
Sb (0.203, 0.913, 0.826)

Output
- Calculated volume: 42.6 Å³ per atom
- Total energy: -3.03 eV/atom
- Space-group type: No. 72
- Formation energy without anion corrections: -45 kJ/mol of atoms

- total energy of number 2 (TeAsIrAu)?
  -4.81 eV/atom

- What is the calculated volume in the second record?
  21.3 Å³ per atom

- What is the calculated volume in the second record?
  21.3 Å³ per atom

Repeat the fourth record exactly.
## Cs2SrAlSb2 (PBE)

Data for crystalline Cs2SrAlSb2 at its relaxed geometry.

Cell lengths 7.627, 7.656, 10.283 Å; angles 111.86, 111.77, 90.00 degrees
Element x y z (fractional)
Cs (0.445, 0.180, 0.360)
Cs (0.555, 0.820, 0.640)
Cs (0.086, 0.320, 0.640)
Cs (0.914, 0.680, 0.360)
Sr (0.000, 0.750, 0.000)
Sr (0.000, 0.250, 0.000)
Al (0.500, 0.750, 0.000)
Al (0.500, 0.250, 0.000)
Sb (0.797, 0.087, 0.174)
Sb (0.377, 0.587, 0.174)
Sb (0.623, 0.413, 0.826)
Sb (0.203, 0.913, 0.826)

Output
- Calculated volume: 42.6 Å³ per atom
- Total energy: -3.03 eV/atom
- Space-group type: No. 72
- Formation energy without anion corrections: -45 kJ/mol of atoms